[1]
Cr3HPt | PBE-GGA | relaxed Values from VASP.

```
&SYSTEM
  ibrav = 0, nat = 5, ntyp = 3
/
ATOMIC_SPECIES
Cr 52.00 Cr.upf
Pt 195.08 Pt.upf
H 1.01 H.upf
ATOMIC_POSITIONS angstrom
Cr 0.5692 -0.9098 -2.2130
Cr -2.1207 -1.2451 -0.0336
Cr -1.1079 1.9159 -1.0726
Pt 0.0000 0.0000 0.0000
H -2.6595 -0.2390 -3.3191
CELL_PARAMETERS angstrom
-2.2159 3.8319 -2.1452
1.1383 -1.8195 -4.4259
-4.2414 -2.4903 -0.0671
```

Summary:
* uncorrected energy: -6.10 eV/atom



[2]
Cr3HPt | PBE-GGA | relaxed Values from VASP.

```
&SYSTEM
  ibrav = 0, nat = 5, ntyp = 3
/
ATOMIC_SPECIES
Cr 52.00 Cr.upf
Pt 195.08 Pt.upf
H 1.01 H.upf
ATOMIC_POSITIONS angstrom
Cr -0.9627 -1.5183 0.5155
Cr -0.8917 1.0067 1.2997
Cr -1.3326 0.4232 -1.2421
Pt -3.1871 -0.0883 0.5731
H 0.0000 0.0000 0.0000
CELL_PARAMETERS angstrom
-2.6653 0.8465 -2.4843
-1.9255 -3.0366 1.0311
-1.7834 2.0135 2.5994
```

Summary:
* uncorrected energy: -7.72 eV/atom



[3]
CrH3Pt | PBE-GGA | relaxed Values from VASP.

```
&SYSTEM
  ibrav = 0, nat = 5, ntyp = 3
/
ATOMIC_SPECIES
Cr 52.00 Cr.upf
Pt 195.08 Pt.upf
H 1.01 H.upf
ATOMIC_POSITIONS angstrom
Cr 0.0000 0.0000 0.0000
Pt 1.6593 1.6593 1.6593
H 0.0000 1.6593 0.0000
H 0.0000 0.0000 1.6593
H 1.6593 0.0000 0.0000
CELL_PARAMETERS angstrom
3.3186 0.0000 0.0000
0.0000 3.3186 0.0000
0.0000 0.0000 3.3186
```

Summary:
* uncorrected energy: -4.75 eV/atom



[4]
CrH3Pt | PBE-GGA | relaxed Values from VASP.

```
&SYSTEM
  ibrav = 0, nat = 5, ntyp = 3
/
ATOMIC_SPECIES
Cr 52.00 Cr.upf
Pt 195.08 Pt.upf
H 1.01 H.upf
ATOMIC_POSITIONS angstrom
Cr 1.7796 1.7796 1.7796
Pt 0.0000 0.0000 0.0000
H 0.0000 1.7796 0.0000
H 0.0000 0.0000 1.7796
H 1.7796 0.0000 0.0000
CELL_PARAMETERS angstrom
3.5593 0.0000 0.0000
0.0000 3.5593 0.0000
0.0000 0.0000 3.5593
```

Summary:
* uncorrected energy: -5.00 eV/atom



[5]
CrHPt | PBE-GGA | relaxed Values from VASP.

```
&SYSTEM
  ibrav = 0, nat = 6, ntyp = 3
/
ATOMIC_SPECIES
Cr 52.00 Cr.upf
Pt 195.08 Pt.upf
H 1.01 H.upf
ATOMIC_POSITIONS angstrom
Cr 1.1874 3.0811 1.7027
Cr 2.1967 3.5152 4.2728
Pt 2.5490 0.7321 1.5107
Pt 0.8351 5.8642 4.4647
H 2.3840 2.4541 2.8564
H 1.0000 4.1422 3.1191
CELL_PARAMETERS angstrom
2.6981 -0.0516 0.3968
0.0050 4.7457 0.5708
0.6810 1.9022 5.0079
```

Summary:
* uncorrected energy: -6.34 eV/atom



[6]
CrH2Pt | PBE-GGA | relaxed Values from VASP.

```
&SYSTEM
  ibrav = 0, nat = 8, ntyp = 3
/
ATOMIC_SPECIES
Cr 52.00 Cr.upf
Pt 195.08 Pt.upf
H 1.01 H.upf
ATOMIC_POSITIONS angstrom
Cr 0.3772 -0.7757 2.7534
Cr 0.5031 1.2587 4.8211
Pt 0.0000 0.0000 0.0000
Pt -1.8004 -0.4703 4.6495
H -1.3349 -0.8005 2.9074
H 0.8749 0.8068 3.2045
H -1.1907 1.1963 5.1090
H -0.9439 0.3742 7.7202
CELL_PARAMETERS angstrom
-1.9263 -2.5048 2.5818
2.6806 0.9533 2.9250
-2.0517 2.3398 3.9639
```

Summary:
* uncorrected energy: -5.41 eV/atom



[7]
Cr2H2Pt | PBE-GGA | relaxed Values from VASP.

```
&SYSTEM
  ibrav = 0, nat = 5, ntyp = 3
/
ATOMIC_SPECIES
Cr 52.00 Cr.upf
Pt 195.08 Pt.upf
H 1.01 H.upf
ATOMIC_POSITIONS angstrom
Cr 1.6580 1.6580 1.3716
Cr 3.3160 3.3160 2.7727
Pt 0.0000 0.0000 0.0000
H 3.3160 1.6580 2.0722
H 1.6580 3.3160 2.0722
CELL_PARAMETERS angstrom
3.3160 0.0000 0.0000
0.0000 3.3160 0.0000
1.6580 1.6580 4.1443
```

Summary:
* uncorrected energy: -6.34 eV/atom



[8]
CrH2Pt | PBE-GGA | relaxed Values from VASP.

```
&SYSTEM
  ibrav = 0, nat = 4, ntyp = 3
/
ATOMIC_SPECIES
Cr 52.00 Cr.upf
Pt 195.08 Pt.upf
H 1.01 H.upf
ATOMIC_POSITIONS angstrom
Cr 2.9112 1.6808 2.4260
Pt 0.0000 0.0000 0.0000
H 1.4556 0.8404 3.0700
H 4.3669 2.5212 1.7819
CELL_PARAMETERS angstrom
2.9112 0.0000 0.0000
1.4556 2.5212 0.0000
1.4556 0.8404 4.8519
```

Summary:
* uncorrected energy: -5.54 eV/atom



[9]
CrH2Pt2 | PBE-GGA | relaxed Values from VASP.

```
&SYSTEM
  ibrav = 0, nat = 10, ntyp = 3
/
ATOMIC_SPECIES
Cr 52.00 Cr.upf
Pt 195.08 Pt.upf
H 1.01 H.upf
ATOMIC_POSITIONS angstrom
Cr 0.0000 0.0000 0.0000
Cr -3.6862 0.4923 0.8746
Pt -2.4884 1.9804 2.8160
Pt -5.1245 2.4971 2.0278
Pt -4.2924 2.6737 -0.6393
Pt -1.6563 2.1570 0.1489
H -2.7158 0.1365 2.5860
H -5.4054 0.6519 1.8826
H -4.6565 0.8481 -0.8368
H -1.9669 0.3326 -0.1334
CELL_PARAMETERS angstrom
-4.4877 1.0517 -2.8186
-2.8846 -0.0672 4.5678
0.5915 3.6695 0.4275
```

Summary:
* uncorrected energy: -5.73 eV/atom



[10]
Cr2H2Pt | PBE-GGA | relaxed Values from VASP.

```
&SYSTEM
  ibrav = 0, nat = 10, ntyp = 3
/
ATOMIC_SPECIES
Cr 52.00 Cr.upf
Pt 195.08 Pt.upf
H 1.01 H.upf
ATOMIC_POSITIONS angstrom
Cr 0.8543 -1.4390 3.5836
Cr -0.4047 -4.1803 4.8906
Cr -3.0352 -3.9031 2.9382
Cr -1.7762 -1.1618 1.6312
Pt 0.0000 0.0000 0.0000
Pt -0.4778 -3.3951 2.3326
H 1.2224 -3.9011 3.8494
H -1.6592 -5.2846 3.0264
H -2.1779 -2.8890 0.8157
H 0.7037 -1.5056 1.6387
CELL_PARAMETERS angstrom
-4.1250 -4.1378 0.5045
3.1695 -2.6524 4.1606
-1.2255 1.4480 1.8567
```

Summary:
* uncorrected energy: -6.26 eV/atom



[11]
Cr2HPt | PBE-GGA | relaxed Values from VASP.

```
&SYSTEM
  ibrav = 0, nat = 4, ntyp = 3
/
ATOMIC_SPECIES
Cr 52.00 Cr.upf
Pt 195.08 Pt.upf
H 1.01 H.upf
ATOMIC_POSITIONS angstrom
Cr -2.1473 -0.9285 0.8622
Cr -6.4418 -2.7856 2.5865
Pt -4.2945 -1.8571 1.7243
H 0.0000 0.0000 0.0000
CELL_PARAMETERS angstrom
-1.6877 -2.9841 2.1962
-3.2653 0.7676 2.3076
-3.6360 -1.4976 -1.0551
```

Summary:
* uncorrected energy: -6.45 eV/atom



[12]
Cr2HPt | PBE-GGA | relaxed Values from VASP.

```
&SYSTEM
  ibrav = 0, nat = 8, ntyp = 3
/
ATOMIC_SPECIES
Cr 52.00 Cr.upf
Pt 195.08 Pt.upf
H 1.01 H.upf
ATOMIC_POSITIONS angstrom
Cr 2.5030 1.2493 0.8799
Cr 2.4942 3.7479 0.8799
Cr 3.7479 4.9928 2.6396
Cr 6.2465 5.0016 2.6396
Pt 0.0000 0.0000 0.0000
Pt 4.9972 2.4986 1.7597
H 2.4986 2.4986 0.0000
H 2.4986 4.9972 1.7597
CELL_PARAMETERS angstrom
4.9972 0.0000 0.0000
0.0000 4.9972 0.0000
2.4986 2.4986 3.5195
```

Summary:
* uncorrected energy: -6.83 eV/atom



[13]
Rb2CrHPt | PBE-GGA | relaxed Values from VASP.

```
&SYSTEM
  ibrav = 0, nat = 5, ntyp = 4
/
ATOMIC_SPECIES
Cr 52.00 Cr.upf
Rb 85.47 Rb.upf
Pt 195.08 Pt.upf
H 1.01 H.upf
ATOMIC_POSITIONS angstrom
Cr 3.1464 1.7606 3.1464
Rb 0.0000 0.0000 3.1464
Rb 3.1464 0.0000 0.0000
Pt 0.0000 1.7606 0.0000
H 0.0000 0.0000 0.0000
CELL_PARAMETERS angstrom
6.2928 0.0000 0.0000
0.0000 3.5212 0.0000
0.0000 0.0000 6.2928
```

Summary:
* uncorrected energy: -3.72 eV/atom



[14]
CrRe2HPt | PBE-GGA | relaxed Values from VASP.

```
&SYSTEM
  ibrav = 0, nat = 5, ntyp = 4
/
ATOMIC_SPECIES
Re 186.21 Re.upf
H 1.01 H.upf
Pt 195.08 Pt.upf
Cr 52.00 Cr.upf
ATOMIC_POSITIONS angstrom
Re 0.0000 1.9490 0.0000
Re 1.9490 0.0000 0.0000
H 0.0000 0.0000 0.0000
Pt 1.9490 1.9490 1.9527
Cr 0.0000 0.0000 1.9527
CELL_PARAMETERS angstrom
3.8980 0.0000 0.0000
0.0000 3.8980 0.0000
0.0000 0.0000 3.9054
```

Summary:
* uncorrected energy: -8.76 eV/atom



[15]
Cr2ReHPt | PBE-GGA | relaxed Values from VASP.

```
&SYSTEM
  ibrav = 0, nat = 5, ntyp = 4
/
ATOMIC_SPECIES
Re 186.21 Re.upf
H 1.01 H.upf
Pt 195.08 Pt.upf
Cr 52.00 Cr.upf
ATOMIC_POSITIONS angstrom
Re 0.0000 0.0000 1.9008
H 0.0000 0.0000 0.0000
Pt 1.9186 1.9186 1.9008
Cr 0.0000 1.9186 0.0000
Cr 1.9186 0.0000 0.0000
CELL_PARAMETERS angstrom
3.8373 0.0000 0.0000
0.0000 3.8373 0.0000
0.0000 0.0000 3.8015
```

Summary:
* uncorrected energy: -8.24 eV/atom



[16]
Cr2ReHPt | PBE-GGA | relaxed Values from VASP.

```
&SYSTEM
  ibrav = 0, nat = 5, ntyp = 4
/
ATOMIC_SPECIES
Re 186.21 Re.upf
H 1.01 H.upf
Pt 195.08 Pt.upf
Cr 52.00 Cr.upf
ATOMIC_POSITIONS angstrom
Re -0.4368 -2.8270 1.6806
H 0.0000 0.0000 0.0000
Pt 1.3461 -0.8744 0.9559
Cr -0.5615 -1.6935 -0.7583
Cr -1.2214 -0.2591 1.4830
CELL_PARAMETERS angstrom
-2.4428 -0.5182 2.9660
-1.1230 -3.3870 -1.5167
2.6923 -1.7488 1.9119
```

Summary:
* uncorrected energy: -8.19 eV/atom



[17]
CrHPtRh2 | PBE-GGA | relaxed Values from VASP.

```
&SYSTEM
  ibrav = 0, nat = 5, ntyp = 4
/
ATOMIC_SPECIES
Cr 52.00 Cr.upf
Rh 102.91 Rh.upf
Pt 195.08 Pt.upf
H 1.01 H.upf
ATOMIC_POSITIONS angstrom
Cr 1.5641 0.1705 1.1729
Rh -0.3403 1.9013 0.1774
Rh -1.1209 -0.3448 1.5449
Pt 0.1028 1.7269 2.8952
H 0.0000 0.0000 0.0000
CELL_PARAMETERS angstrom
-2.2419 -0.6896 3.0898
3.1281 0.3409 2.3458
-0.6806 3.8025 0.3549
```

Summary:
* uncorrected energy: -6.88 eV/atom



[18]
CrHPtRh2 | PBE-GGA | relaxed Values from VASP.

```
&SYSTEM
  ibrav = 0, nat = 5, ntyp = 4
/
ATOMIC_SPECIES
Cr 52.00 Cr.upf
Rh 102.91 Rh.upf
Pt 195.08 Pt.upf
H 1.01 H.upf
ATOMIC_POSITIONS angstrom
Cr -3.0913 -0.5761 1.2679
Rh -0.3797 -0.9947 1.6415
Rh -1.4345 -0.9647 -0.9164
Pt -1.2771 1.3833 0.5428
H 0.0000 0.0000 0.0000
CELL_PARAMETERS angstrom
-2.8690 -1.9294 -1.8329
-0.7595 -1.9895 3.2830
-2.5541 2.7666 1.0857
```

Summary:
* uncorrected energy: -6.83 eV/atom



[19]
TaCr2HPt | PBE-GGA | relaxed Values from VASP.

```
&SYSTEM
  ibrav = 0, nat = 5, ntyp = 4
/
ATOMIC_SPECIES
Cr 52.00 Cr.upf
H 1.01 H.upf
Pt 195.08 Pt.upf
Ta 180.95 Ta.upf
ATOMIC_POSITIONS angstrom
Cr -1.1056 -0.8866 1.3233
Cr -0.5733 -1.2813 -1.3376
H 0.0000 0.0000 0.0000
Pt -3.2122 -0.9774 -0.4976
Ta -1.5333 1.1906 -0.4833
CELL_PARAMETERS angstrom
-1.1467 -2.5627 -2.6751
-2.2113 -1.7733 2.6466
-3.0665 2.3812 -0.9667
```

Summary:
* uncorrected energy: -8.23 eV/atom



[20]
TaCr2HPt | PBE-GGA | relaxed Values from VASP.

```
&SYSTEM
  ibrav = 0, nat = 5, ntyp = 4
/
ATOMIC_SPECIES
Cr 52.00 Cr.upf
H 1.01 H.upf
Pt 195.08 Pt.upf
Ta 180.95 Ta.upf
ATOMIC_POSITIONS angstrom
Cr 0.5886 -0.9000 -1.6983
Cr -0.6978 1.5548 -1.0659
H 0.0000 0.0000 0.0000
Pt -1.6677 -0.8397 -0.1330
Ta -1.7769 -0.1849 -2.8972
CELL_PARAMETERS angstrom
-1.3957 3.1097 -2.1318
1.1773 -1.8001 -3.3965
-3.3354 -1.6793 -0.2661
```

Summary:
* uncorrected energy: -8.16 eV/atom